Compound: Th6P5Se
Source: Alexandria
Functional: PBE
Structure: relaxed

a = 7.1872 Å, b = 12.4591 Å, c = 7.1985 Å
α = 90.00°, β = 109.51°, γ = 90.00°
With the nearest neighbours (Å) after each atom.
Space group C2/m (No. 12)
Inequivalent atoms, fractional coordinates:
Th 0.2425 0.0000 0.2557 x4  5 P 2.86-2.94, 1 Se 3.01
Th 0.2429 0.1714 0.7433 x8  5 P 2.88-2.94, 1 Se 3.02
P 0.0000 0.0000 0.5000 x2  6 Th 2.86-2.94
P 0.0000 0.1670 0.0000 x4  6 Th 2.93-2.94
P 0.0000 0.3365 0.5000 x4  6 Th 2.88-2.94
Se 0.0000 0.5000 0.0000 x2  6 Th 3.01-3.02

Output
V = 607.59 Å³ per cell
Fermi-level density of states = 7.065 states/eV/f.u.
ΔE_f (raw) = -1.573 eV per atom